First-principles (meta-GGA SCAN) data for a PBEsol-optimized structure of Ta3WS8, as listed in the Alexandria database.

The structure in POSCAR format:
```
Ta3WS8
1.0
-1.1270 -2.6001 1.6105
5.1102 -0.8065 2.2740
-5.0046 8.7516 7.3284
S Ta W
8 3 1
Direct
0.6847 0.0180 0.3693
0.5646 0.2358 0.1292
0.9365 0.5989 0.8731
0.3153 0.6486 0.6307
0.1847 0.5183 0.3694
0.0635 0.7258 0.1269
0.4354 0.1066 0.8708
0.8153 0.1489 0.6306
0.2499 0.2501 0.4999
0.7501 0.7502 0.5001
0.0000 0.0037 0.0000
0.5000 0.4976 0.0000
```

Computed properties:
* formation energy without anion corrections: -1.043 eV/atom


First-principles (meta-GGA SCAN) data for a PBEsol-optimized structure of Re2SiAu, as listed in the Alexandria database.

The structure in POSCAR format:
```
Re2SiAu
1.0
-1.4538 -2.2631 -0.8670
3.1409 -1.2796 -1.9268
2.3173 -1.5687 4.8194
Re Si Au
2 1 1
Direct
0.5658 0.5000 0.2567
0.9526 0.0000 0.0305
0.1723 0.0000 0.4685
0.3093 0.5000 0.7443
```

Computed properties:
* formation energy without anion corrections: 0.198 eV/atom


First-principles (meta-GGA SCAN) data for a PBEsol-optimized structure of HgAs2, as listed in the Alexandria database.

The structure in POSCAR format:
```
HgAs2
1.0
3.5184 0.0000 0.0000
0.0000 6.7086 0.0343
-1.7592 -1.6390 5.7385
As Hg
4 2
Direct
0.2973 0.6492 0.5946
0.2984 0.1479 0.5967
0.7016 0.8521 0.4033
0.7027 0.3508 0.4054
0.9995 0.7421 0.9990
0.0005 0.2579 0.0010
```

Computed properties:
* calculated formation energy: 0.23 eV per atom


First-principles (meta-GGA SCAN) data for a PBEsol-optimized structure of MgAl4As, as listed in the Alexandria database.

The structure in POSCAR format:
```
MgAl4As
1.0
-1.9305 -0.8910 4.9105
3.3512 -0.5110 4.1404
0.2657 3.8404 3.7169
As Al Mg
1 4 1
Direct
0.7500 0.7500 0.7500
0.3745 0.8765 0.3745
0.8765 0.3745 0.3745
0.3745 0.3745 0.8765
0.3745 0.3745 0.3745
0.0000 0.0000 0.0000
```

Computed properties:
* calculated formation energy: 0.14 eV per atom


First-principles (meta-GGA SCAN) data for a PBEsol-optimized structure of Ba2TlGeC, as listed in the Alexandria database.

The structure in POSCAR format:
```
Ba2TlGeC
1.0
-3.3449 0.1824 2.1088
-3.4517 -1.2253 -5.3690
0.4054 -6.3758 1.1945
Ba Ge C Tl
2 1 1 1
Direct
0.0000 0.5000 0.0000
0.0000 0.0000 0.5000
0.5000 0.5000 0.5000
0.5000 0.0000 0.0000
0.0000 0.0000 0.0000
```

Computed properties:
* calculated formation energy: 0.78 eV per atom


First-principles (meta-GGA SCAN) data for a PBEsol-optimized structure of ScTl2Pb, as listed in the Alexandria database.

The structure in POSCAR format:
```
ScTl2Pb
1.0
3.5162 0.0000 0.0000
0.0000 5.3059 0.0000
0.0000 0.0000 5.4415
Tl Sc Pb
2 1 1
Direct
0.5000 0.5000 0.0000
0.0000 0.0000 0.0000
0.0000 0.5000 0.5000
0.5000 0.0000 0.5000
```

Computed properties:
* calculated formation energy: -0.17 eV per atom


| no. | final energy (eV per atom) |
| --- | --- |
| 1 | -29.9144 |
| 2 | -55.1442 |
| 3 | -35.9571 |
| 4 | -9.2240 |
| 5 | -35.3452 |
| 6 | -58.8561 |